[1]
! KLiPb2F6 PBE-GGA relaxed; values from VASP
! Energy relative to the elements, uncorrected = -2.52 eV per atom
! Crystal system = trigonal
! E = -46.83 eV/cell
! Space-group type = R3, No. 146
&SYSTEM
  ibrav = 0, nat = 10, ntyp = 4
/
ATOMIC_SPECIES
K 39.10 K.upf
Li 6.94 Li.upf
Pb 207.20 Pb.upf
F 19.00 F.upf
ATOMIC_POSITIONS crystal
K 0.000 0.000 0.000
Li 0.477 0.477 0.477
Pb 0.267 0.267 0.267
Pb 0.775 0.775 0.775
F 0.119 0.630 0.395
F 0.201 0.592 0.827
F 0.395 0.119 0.630
F 0.592 0.827 0.201
F 0.630 0.395 0.119
F 0.827 0.201 0.592
CELL_PARAMETERS angstrom
3.131 1.807 5.190
-3.131 1.807 5.190
0.000 -3.615 5.190

[2]
! SmTm2Ag3Te6 PBE-GGA relaxed; values from VASP
! Energy relative to the elements, uncorrected = -0.82 eV per atom
! Crystal system = monoclinic
! E = -50.91 eV/cell
! Space-group type = C2/m, No. 12
&SYSTEM
  ibrav = 0, nat = 12, ntyp = 4
/
ATOMIC_SPECIES
Sm 150.36 Sm.upf
Tm 168.93 Tm.upf
Ag 107.87 Ag.upf
Te 127.60 Te.upf
ATOMIC_POSITIONS crystal
Sm 0.000 0.000 0.000
Tm 0.333 0.667 0.000
Tm 0.667 0.333 0.000
Ag 0.164 0.836 0.500
Ag 0.500 0.500 0.500
Ag 0.836 0.164 0.500
Te 0.084 0.425 0.253
Te 0.257 0.257 0.745
Te 0.425 0.084 0.253
Te 0.575 0.916 0.747
Te 0.743 0.743 0.255
Te 0.916 0.575 0.747
CELL_PARAMETERS angstrom
3.812 -6.607 0.000
3.812 6.607 0.000
-2.531 0.000 7.002

[3]
! SrMg2 PBE-GGA relaxed; values from VASP
! Crystal system = monoclinic
! E = -20.00 eV/cell
! Space-group type = C2/m, No. 12
&SYSTEM
  ibrav = 0, nat = 12, ntyp = 2
/
ATOMIC_SPECIES
Sr 87.62 Sr.upf
Mg 24.30 Mg.upf
ATOMIC_POSITIONS crystal
Sr 0.198 0.000 0.448
Sr 0.302 0.500 0.552
Sr 0.698 0.500 0.448
Sr 0.802 0.000 0.552
Mg 0.086 0.311 0.835
Mg 0.086 0.689 0.835
Mg 0.414 0.189 0.165
Mg 0.414 0.811 0.165
Mg 0.586 0.189 0.835
Mg 0.586 0.811 0.835
Mg 0.914 0.311 0.165
Mg 0.914 0.689 0.165
CELL_PARAMETERS angstrom
10.330 0.000 0.000
0.000 8.345 0.000
-2.780 0.000 4.604

no.,calculated density (g/cm3),total moment (Bohr magnetons per cell)
1,5.4,0.0
2,7.4,0.0
3,2.3,0.0